No. 1
A relaxed structure of Pa2Ge. Source: Alexandria, functional PBE-GGA.

abc: 11.5132 6.9145 7.3134
angles: 90.00 90.00 90.00
Space group Cmce (No. 64)
One atom of each set of equivalent atoms:
Pa1 0.0000 0.1340 0.1461 [8 per cell]
Pa2 0.2500 0.2261 0.7500 [8 per cell]
Ge1 0.1145 0.0000 0.5000 [8 per cell]

The calculation puts the energy at -7.926 eV per atom. The calculation puts the volume at 24.3 Å³ per atom. As for the crystal system: orthorhombic.

No. 2
A relaxed structure of Lu3Sc. Source: Alexandria, functional PBE-GGA.

abc: 3.4746 10.8095 6.0049
angles: 90.00 90.00 90.00
Space group Imm2 (No. 44)
One atom of each set of equivalent atoms:
Lu1 0.0000 0.0000 0.0000 [2 per cell]
Lu2 0.0000 0.2463 0.3374 [4 per cell]
Sc1 0.0000 0.5000 0.0031 [2 per cell]

The calculation puts the energy at -4.966 eV per atom. The calculation puts the volume at 28.2 Å³ per atom. As for the crystal system: orthorhombic.

No. 3
A relaxed structure of KIn2Ga. Source: Alexandria, functional PBE-GGA.

abc: 4.5905 4.5905 21.9413
angles: 90.00 90.00 120.00
Space group R3m (No. 160, hexagonal axes)
One atom of each set of equivalent atoms:
K1 0.0000 0.0000 0.0000 [3 per cell]
In1 0.0000 0.0000 0.2154 [3 per cell]
In2 0.0000 0.0000 0.4474 [3 per cell]
Ga1 0.0000 0.0000 0.8234 [3 per cell]

The calculation puts the energy at -2.462 eV per atom. The calculation puts the volume at 33.4 Å³ per atom. As for the crystal system: trigonal.

No. 4
A relaxed structure of Nd2AgRuC. Source: Alexandria, functional PBE-GGA.

abc: 5.2409 5.2409 3.9111
angles: 90.00 90.00 90.00
Space group P4/mmm (No. 123)
One atom of each set of equivalent atoms:
Nd1 0.0000 0.5000 0.0000 [2 per cell]
Ag1 0.0000 0.0000 0.5000 [1 per cell]
Ru1 0.5000 0.5000 0.5000 [1 per cell]
C1 0.5000 0.5000 0.0000 [1 per cell]

The calculation puts the energy at -6.442 eV per atom. The calculation puts the volume at 21.5 Å³ per atom. As for the crystal system: tetragonal.

No. 5
A relaxed structure of LiY2VC. Source: Alexandria, functional PBE-GGA.

abc: 5.0583 5.0583 3.9810
angles: 90.00 90.00 90.00
Space group P4/mmm (No. 123)
One atom of each set of equivalent atoms:
Li1 0.0000 0.0000 0.0000 [1 per cell]
Y1 0.0000 0.5000 0.5000 [2 per cell]
V1 0.5000 0.5000 0.0000 [1 per cell]
C1 0.5000 0.5000 0.5000 [1 per cell]

The calculation puts the energy at -6.684 eV per atom. The calculation puts the volume at 20.4 Å³ per atom. As for the crystal system: tetragonal.

No. 6
A relaxed structure of Er2MnAl12Fe3. Source: Alexandria, functional PBE-GGA.

abc: 8.6371 8.6371 17.1972
angles: 90.00 90.00 120.00
Space group R-3m (No. 166, hexagonal axes)
One atom of each set of equivalent atoms:
Er1 0.0000 0.0000 0.0950 [6 per cell]
Mn1 0.0000 0.0000 0.5000 [3 per cell]
Al1 0.0121 0.5061 0.8661 [18 per cell]
Al2 0.0683 0.5342 0.3002 [18 per cell]
Fe1 0.0000 0.5000 0.0000 [9 per cell]

The calculation puts the energy at -4.644 eV per atom. The calculation puts the volume at 20.6 Å³ per atom. As for the crystal system: trigonal.

No. 7
A relaxed structure of P4O9. Source: Alexandria, functional PBE-GGA.

abc: 10.1903 10.1903 25.9792
angles: 90.00 90.00 120.00
Space group R-3c (No. 167, hexagonal axes)
One atom of each set of equivalent atoms:
P1 0.0000 0.0000 0.0758 [12 per cell]
P2 0.0578 0.1824 0.1685 [36 per cell]
O1 0.0023 0.4380 0.8562 [36 per cell]
O2 0.0506 0.1611 0.8134 [36 per cell]
O3 0.0511 0.1635 0.1074 [36 per cell]

The calculation puts the energy at -6.970 eV per atom. The calculation puts the volume at 15.0 Å³ per atom. As for the crystal system: trigonal.

No. 8
A relaxed structure of RbHO2. Source: Alexandria, functional PBE-GGA.

abc: 6.1532 4.1245 4.6461
angles: 90.00 90.00 90.00
Space group Pmma (No. 51)
One atom of each set of equivalent atoms:
Rb1 0.2500 0.0000 0.1968 [2 per cell]
H1 0.2500 0.5000 0.6195 [2 per cell]
O1 0.0508 0.5000 0.6474 [4 per cell]

The calculation puts the energy at -4.423 eV per atom. The calculation puts the volume at 14.7 Å³ per atom. As for the crystal system: orthorhombic.